The following is a DFT calculation (GGA-PBE) of an optimized crystal structure of Tl2VTc2S4.

## Properties
- ΔE_f (raw): -0.44 eV/atom
- Energy: -6.12 eV per atom

a b c (Å): 3.197 7.169 8.215
angles (deg): 101.99 90.00 102.88
Fractional coordinates of all 9 atoms:
S (0.493, 0.986, 0.214)
S (0.507, 0.014, 0.786)
S (0.816, 0.633, 0.851)
S (0.184, 0.367, 0.149)
Tc (0.666, 0.332, 0.942)
Tc (0.334, 0.668, 0.058)
Tl (0.861, 0.722, 0.441)
Tl (0.139, 0.278, 0.559)
V (0.000, 0.000, 0.000)